A relaxed structure of Ag2SnSe4, computed with PBE.

a b c (Å): 5.498 5.498 12.019
angles (deg): 90.00 90.00 97.67
Fractional coordinates of all 14 atoms:
Ag 0.073 0.763 0.000
Ag 0.237 0.927 0.500
Ag 0.763 0.073 0.500
Ag 0.927 0.237 0.000
Sn 0.500 0.500 0.250
Sn 0.500 0.500 0.750
Se 0.000 0.500 0.186
Se 0.000 0.500 0.814
Se 0.196 0.421 0.500
Se 0.421 0.196 0.000
Se 0.500 0.000 0.314
Se 0.500 0.000 0.686
Se 0.579 0.804 0.000
Se 0.804 0.579 0.500

The calculation puts the energy at -47.48 eV for the cell shown. For the density of states at the Fermi level, the calculation gives 0.5357 states/eV/atom. For the uncorrected formation energy, the calculation gives -0.10 eV/f.u.

---

A relaxed structure of Ag5SnSe6, computed with PBE.

a b c (Å): 6.856 6.856 6.952
angles (deg): 100.57 100.57 118.57
Fractional coordinates of all 12 atoms:
Ag 0.000 0.000 0.000
Ag 0.174 0.826 0.500
Ag 0.347 0.653 0.000
Ag 0.653 0.347 0.000
Ag 0.826 0.174 0.500
Sn 0.500 0.500 0.500
Se 0.118 0.445 0.235
Se 0.222 0.222 0.713
Se 0.445 0.118 0.235
Se 0.555 0.882 0.765
Se 0.778 0.778 0.287
Se 0.882 0.555 0.765

The calculation puts the energy at -40.56 eV for the cell shown. For the density of states at the Fermi level, the calculation gives 0.4073 states/eV/atom. For the uncorrected formation energy, the calculation gives -1.39 eV/f.u.

---

A relaxed structure of AgSn5Se6, computed with PBE.

a b c (Å): 7.292 7.292 7.277
angles (deg): 99.44 99.44 120.08
Fractional coordinates of all 12 atoms:
Ag 0.000 0.000 0.000
Sn 0.167 0.833 0.500
Sn 0.335 0.665 0.000
Sn 0.500 0.500 0.500
Sn 0.665 0.335 0.000
Sn 0.833 0.167 0.500
Se 0.082 0.413 0.247
Se 0.246 0.246 0.758
Se 0.413 0.082 0.247
Se 0.587 0.918 0.753
Se 0.754 0.754 0.242
Se 0.918 0.587 0.753

The calculation puts the energy at -48.24 eV for the cell shown. For the density of states at the Fermi level, the calculation gives 0.4692 states/eV/atom. For the uncorrected formation energy, the calculation gives -4.47 eV/f.u.

---

A relaxed structure of Ag2Sn2Se, computed with PBE.

a b c (Å): 7.996 7.996 3.774
angles (deg): 90.00 90.00 90.00
Fractional coordinates of all 10 atoms:
Ag 0.122 0.378 0.000
Ag 0.378 0.878 0.000
Ag 0.622 0.122 0.000
Ag 0.878 0.622 0.000
Sn 0.181 0.681 0.500
Sn 0.319 0.181 0.500
Sn 0.681 0.819 0.500
Sn 0.819 0.319 0.500
Se 0.000 0.000 0.500
Se 0.500 0.500 0.500

The calculation puts the energy at -33.40 eV for the cell shown. For the density of states at the Fermi level, the calculation gives 0.4095 states/eV/atom. For the distance to the lowest polymorph of the same formula, the calculation gives 0.224 eV/f.u. For the uncorrected formation energy, the calculation gives 0.49 eV/f.u.

---

A relaxed structure of Ag2Sn2Se5, computed with PBE.

a b c (Å): 16.846 16.846 16.846
angles (deg): 14.26 14.26 14.26
Fractional coordinates of all 9 atoms:
Ag 0.000 0.000 0.000
Ag 0.167 0.167 0.167
Sn 0.582 0.582 0.582
Sn 0.762 0.762 0.762
Se 0.069 0.069 0.069
Se 0.219 0.219 0.219
Se 0.685 0.685 0.685
Se 0.813 0.813 0.813
Se 0.946 0.946 0.946

The calculation puts the energy at -32.27 eV for the cell shown. For the density of states at the Fermi level, the calculation gives 0.3964 states/eV/atom. For the distance to the lowest polymorph of the same formula, the calculation gives 0.000 eV/f.u. For the uncorrected formation energy, the calculation gives -1.14 eV/f.u.

---

A relaxed structure of AgSnSe, computed with PBE.

a b c (Å): 3.928 3.928 5.318
angles (deg): 90.00 90.00 120.00
Fractional coordinates of all 3 atoms:
Ag 0.000 0.000 0.000
Sn 0.667 0.333 0.658
Se 0.333 0.667 0.317

The calculation puts the energy at -10.75 eV for the cell shown. For the density of states at the Fermi level, the calculation gives 0.3926 states/eV/atom. For the uncorrected formation energy, the calculation gives -0.41 eV/f.u.

---

no.,ρ (g/cm3)
1,6.00
2,7.02
3,6.17
4,7.32
5,5.58
6,7.14